Crystalline Nb2Co3B6 at its relaxed geometry. Source: the Alexandria database, functional PBE.

Results
DOS at the Fermi energy, states/eV/atom: 0.497
Formation energy from the elements, eV per formula unit: -4.26

a = 7.4297 Å, b = 8.3470 Å, c = 3.2694 Å
α = 90.00°, β = 90.00°, γ = 90.00°
With the nearest neighbours (Å) after each atom.
Space group Cmmm (No. 65)
Unique sites:
Nb (0.0000, 0.2259, 0.0000)  12 B 2.54-2.70, 4 Co 2.74-2.81
Co (0.0000, 0.5000, 0.5000)  4 B 2.08
Co (0.2315, 0.5000, 0.0000)  6 B 2.01-2.07
B (0.1103, 0.0000, 0.5000)  3 B 1.64-1.77
B (0.2228, 0.3483, 0.5000)  2 B 1.69-1.77

Crystalline NbCo2B at its relaxed geometry. Source: the Alexandria database, functional PBE.

Results
DOS at the Fermi energy, states/eV/atom: 0.798
Formation energy from the elements, eV per formula unit: -1.76

a = 11.9502 Å, b = 6.3097 Å, c = 4.5996 Å
α = 90.00°, β = 90.00°, γ = 90.00°
With the nearest neighbours (Å) after each atom.
Space group Pnma (No. 62)
Unique sites:
Nb (0.1112, 0.2500, 0.2300)  3 B 2.43-2.47, 6 Co 2.60-2.65
Nb (0.1384, 0.7500, 0.0120)  3 B 2.39-2.48, 6 Co 2.59-2.67
Co (0.0359, 0.0539, 0.7419)  3 B 2.13-2.21
Co (0.2126, 0.5547, 0.5059)  3 B 2.12-2.22
B (0.0684, 0.7500, 0.5186)  6 Co 2.12-2.21
B (0.1809, 0.2500, 0.7347)  6 Co 2.13-2.22

Crystalline Nb3CoB at its relaxed geometry. Source: the Alexandria database, functional PBE.

Results
DOS at the Fermi energy, states/eV/atom: 1.468
Formation energy from the elements, eV per formula unit: 6.61

a = 4.5114 Å, b = 4.5114 Å, c = 4.5114 Å
α = 90.00°, β = 90.00°, γ = 90.00°
With the nearest neighbours (Å) after each atom.
Space group Pm-3m (No. 221)
Unique sites:
Nb (0.0000, 0.0000, 0.5000)  2 Co 2.26
Co (0.0000, 0.0000, 0.0000)  6 Nb 2.26
B (0.5000, 0.5000, 0.5000)  12 Nb 3.19

Crystalline NbCo8B4 at its relaxed geometry. Source: the Alexandria database, functional PBE.

Results
DOS at the Fermi energy, states/eV/atom: 1.072
Formation energy from the elements, eV per formula unit: -1.50

a = 7.4468 Å, b = 7.4468 Å, c = 4.3584 Å
α = 90.00°, β = 90.00°, γ = 90.00°
With the nearest neighbours (Å) after each atom.
Space group I4/mmm (No. 139)
Unique sites:
Nb (0.0000, 0.0000, 0.0000)  12 Co 2.53-2.74
Co (0.0000, 0.2232, 0.5000)  4 B 2.17, 6 Co 2.35-2.38
Co (0.0000, 0.3398, 0.0000)  4 B 2.26, 5 Co 2.35-2.39
B (0.2500, 0.2500, 0.2500)  8 Co 2.17-2.26, 2 B 2.18

Crystalline NbCoB at its relaxed geometry. Source: the Alexandria database, functional PBE.

Results
DOS at the Fermi energy, states/eV/atom: 0.751
Formation energy from the elements, eV per formula unit: -1.70

a = 5.9534 Å, b = 3.2669 Å, c = 10.2433 Å
α = 90.00°, β = 90.53°, γ = 90.00°
With the nearest neighbours (Å) after each atom.
Space group P2_1/m (No. 11)
Unique sites:
Nb (0.0292, 0.2500, 0.1195)  5 B 2.42-2.48, 4 Co 2.67
Nb (0.1536, 0.2500, 0.4201)  5 B 2.41-2.53, 5 Co 2.63-2.70
Nb (0.4709, 0.7500, 0.7896)  5 B 2.44-2.45, 7 Co 2.60-2.70
Co (0.1422, 0.2500, 0.7003)  4 B 2.19-2.38, 1 Co 2.42
Co (0.3563, 0.7500, 0.0399)  4 B 2.10-2.27
Co (0.4987, 0.7500, 0.4089)  4 B 2.14-2.27
B (0.2324, 0.7500, 0.2493)  3 Co 2.27-2.29, 6 Nb 2.42-2.44
B (0.2670, 0.2500, 0.9215)  3 Co 2.10-2.27
B (0.2710, 0.7500, 0.5799)  5 Co 2.14-2.22

Crystalline Nb3Co5B2 at its relaxed geometry. Source: the Alexandria database, functional PBE.

Results
DOS at the Fermi energy, states/eV/atom: 1.139
Formation energy from the elements, eV per formula unit: -3.16

a = 8.4542 Å, b = 8.4542 Å, c = 3.2406 Å
α = 90.00°, β = 90.00°, γ = 90.00°
With the nearest neighbours (Å) after each atom.
Space group P4/mbm (No. 127)
Unique sites:
Nb (0.0000, 0.0000, 0.0000)  8 Co 2.54
Nb (0.1744, 0.3256, 0.0000)  3 B 2.47-2.53, 6 Co 2.64-2.73
Co (0.0000, 0.5000, 0.5000)  4 B 2.16
Co (0.0701, 0.7791, 0.5000)  2 B 2.15
B (0.1193, 0.6193, 0.0000)  6 Co 2.15-2.16

Copy entry 6 word for word.
Crystalline Nb3Co5B2 at its relaxed geometry. Source: the Alexandria database, functional PBE.

Results
DOS at the Fermi energy, states/eV/atom: 1.139
Formation energy from the elements, eV per formula unit: -3.16

a = 8.4542 Å, b = 8.4542 Å, c = 3.2406 Å
α = 90.00°, β = 90.00°, γ = 90.00°
With the nearest neighbours (Å) after each atom.
Space group P4/mbm (No. 127)
Unique sites:
Nb (0.0000, 0.0000, 0.0000)  8 Co 2.54
Nb (0.1744, 0.3256, 0.0000)  3 B 2.47-2.53, 6 Co 2.64-2.73
Co (0.0000, 0.5000, 0.5000)  4 B 2.16
Co (0.0701, 0.7791, 0.5000)  2 B 2.15
B (0.1193, 0.6193, 0.0000)  6 Co 2.15-2.16

Q: Which formula does entry 6 have?
A: Nb3Co5B2

Q: Which value of formation energy from the elements does entry 3 give?
A: 6.61 eV per formula unit

Q: Among the records above, which one has the highest DOS at the Fermi energy?
A: Nb3CoB